1.
VASP calculation (PBE-GGA) on a relaxed FeTeBr2 crystal.

abc: 3.4493 7.4260 7.4117
angles: 42.93 90.00 90.00
Last column: nearest neighbours and their distance in Å.
Positions (direct):
Br 0.0000 0.1191 0.1171  2 Fe 2.51
Br 0.0000 0.3809 0.3829  2 Fe 2.51
Fe 0.5000 0.2500 0.2500  4 Br 2.51, 2 Te 2.71
Te 0.5000 0.7500 0.7500  2 Fe 2.71

## Properties
Electronic total energy (eV per atom): -3.836
SG: P2/m



2.
VASP calculation (PBE-GGA) on a relaxed KYCl2 crystal.

abc: 6.9330 6.9330 7.8812
angles: 63.91 63.91 90.00
Last column: nearest neighbours and their distance in Å.
Positions (direct):
Y 0.0000 0.0000 0.0000  4 Cl 2.73
Y 0.7500 0.2500 0.5000  4 Cl 2.73
K 0.5000 0.5000 0.0000  4 Cl 3.08
K 0.2500 0.7500 0.5000  4 Cl 3.08
Cl 0.6670 0.1250 0.2500  2 Y 2.73
Cl 0.0830 0.6250 0.2500  2 Y 2.73
Cl 0.3750 0.3330 0.7500  2 Y 2.73
Cl 0.8750 0.9170 0.7500  2 Y 2.73

## Properties
Electronic total energy (eV per atom): -4.035
SG: I-42d
Relative energy among the computed polymorphs (eV per atom): 0.254



3.
VASP calculation (PBE-GGA) on a relaxed Ba4LiNp3S12 crystal.

abc: 8.8804 8.8804 8.8804
angles: 109.47 109.47 109.47
Last column: nearest neighbours and their distance in Å.
Positions (direct):
Ba 0.5000 0.5000 0.5000  12 S 3.63
Ba 0.0000 0.0000 0.5000  12 S 3.63
Ba 0.5000 0.0000 0.0000  12 S 3.63
Ba 0.0000 0.5000 0.0000  12 S 3.63
Li 0.0000 0.0000 0.0000  6 S 2.61
Np 0.5000 0.0000 0.5000  6 S 2.51-2.56
Np 0.5000 0.5000 0.0000  6 S 2.51-2.56
Np 0.0000 0.5000 0.5000  6 S 2.51-2.56
S 0.2500 0.5000 0.7500  2 Np 2.56
S 0.7452 0.0000 0.7452  1 Np 2.51, 1 Li 2.61
S 0.2548 0.0000 0.2548  1 Np 2.51, 1 Li 2.61
S 0.7500 0.5000 0.2500  2 Np 2.56
S 0.7452 0.7452 0.0000  1 Np 2.51, 1 Li 2.61
S 0.2548 0.2548 0.0000  1 Np 2.51, 1 Li 2.61
S 0.7500 0.2500 0.5000  2 Np 2.56
S 0.2500 0.7500 0.5000  2 Np 2.56
S 0.5000 0.2500 0.7500  2 Np 2.56
S 0.0000 0.7452 0.7452  1 Np 2.51, 1 Li 2.61
S 0.5000 0.7500 0.2500  2 Np 2.56
S 0.0000 0.2548 0.2548  1 Np 2.51, 1 Li 2.61

## Properties
Electronic total energy (eV per atom): -6.431
SG: Im-3m



4.
VASP calculation (PBE-GGA) on a relaxed TbMgBeCd crystal.

abc: 4.8754 4.8754 4.8754
angles: 60.00 60.00 60.00
Last column: nearest neighbours and their distance in Å.
Positions (direct):
Be 0.0000 0.0000 0.0000  4 Mg 2.99, 4 Tb 2.99
Mg 0.7500 0.7500 0.7500  4 Cd 2.99, 4 Be 2.99
Tb 0.2500 0.2500 0.2500  4 Cd 2.99, 4 Be 2.99
Cd 0.5000 0.5000 0.5000  4 Tb 2.99, 4 Mg 2.99

## Properties
DFT formation energy (eV per atom): -0.0323
Electronic total energy (eV per atom): -2.749
SG: F-43m



5.
VASP calculation (PBE-GGA) on a relaxed CrReAu2 crystal.

abc: 2.7427 2.7427 9.2360
angles: 90.00 90.00 112.40
Last column: nearest neighbours and their distance in Å.
Positions (direct):
Au 0.0000 0.0000 0.9909  8 Au 2.74-3.05, 2 Re 2.93
Au 0.5000 0.5000 0.2697  8 Au 2.74-3.05, 2 Cr 2.76
Cr 0.0000 0.0000 0.5193  2 Re 2.40
Re 0.5000 0.5000 0.7201  2 Cr 2.40

## Properties
DFT formation energy (eV per atom): 0.2941
Electronic total energy (eV per atom): -6.862
SG: Cmm2
Relative energy among the computed polymorphs (eV per atom): 0.026



6.
VASP calculation (PBE-GGA) on a relaxed Nd7Mg2Co2 crystal.

abc: 3.6603 9.9040 9.9040
angles: 66.45 79.35 79.35
Last column: nearest neighbours and their distance in Å.
Positions (direct):
Nd 0.8565 0.0356 0.2514  2 Co 2.82
Nd 0.8410 0.4482 0.8697  2 Co 2.93
Nd 0.5000 0.0986 0.9014  2 Co 2.95
Nd 0.6826 0.4020 0.2327  2 Co 2.85
Nd 0.3174 0.7673 0.5980  2 Co 2.85
Nd 0.1435 0.7486 0.9644  2 Co 2.82
Nd 0.1590 0.1303 0.5518  2 Co 2.93
Mg 0.0000 0.6461 0.3539  2 Mg 3.10
Mg 0.5000 0.4154 0.5846  2 Mg 3.10, 5 Nd 3.44
Co 0.6824 0.8984 0.7367  7 Nd 2.82-2.95
Co 0.3176 0.2633 0.1016  7 Nd 2.82-2.95

## Properties
DFT formation energy (eV per atom): 0.0076
Electronic total energy (eV per atom): -4.608
SG: Imm2



7.
VASP calculation (PBE-GGA) on a relaxed CuSbI2Br crystal.

abc: 5.8648 5.8648 5.8514
angles: 90.00 90.00 90.00
Last column: nearest neighbours and their distance in Å.
Positions (direct):
I 0.0000 0.5000 0.0000  2 Br 2.93
I 0.5000 0.0000 0.0000  2 Br 2.93
Sb 0.0000 0.0000 0.5000  2 Br 2.93
Cu 0.5000 0.5000 0.5000  8 I 4.14, 4 Sb 4.15
Br 0.0000 0.0000 0.0000  2 Sb 2.93, 4 I 2.93

## Properties
Electronic total energy (eV per atom): -1.612
SG: P4/mmm
Relative energy among the computed polymorphs (eV per atom): 0.716



8.
VASP calculation (PBE-GGA) on a relaxed CsAgSnS3 crystal.

abc: 7.4876 7.4876 8.5326
angles: 71.53 71.53 63.58
Last column: nearest neighbours and their distance in Å.
Positions (direct):
Cs 0.7061 0.7061 0.8154  7 S 3.70-3.79
Cs 0.2939 0.2939 0.1846  7 S 3.70-3.79
Ag 0.2752 0.7248 0.5000  2 S 2.40
Ag 0.7248 0.2752 0.5000  2 S 2.40
Sn 0.0765 0.0765 0.7310  3 S 2.30-2.38
Sn 0.9235 0.9235 0.2690  3 S 2.30-2.38
S 0.2711 0.2711 0.6343  1 Sn 2.30
S 0.2154 0.7142 0.7958  1 Sn 2.38, 1 Ag 2.40
S 0.7142 0.2154 0.7958  1 Sn 2.38, 1 Ag 2.40
S 0.2858 0.7846 0.2042  1 Sn 2.38, 1 Ag 2.40
S 0.7846 0.2858 0.2042  1 Sn 2.38, 1 Ag 2.40
S 0.7289 0.7289 0.3657  1 Sn 2.30

## Properties
Electronic total energy (eV per atom): -3.815
SG: C2/m



9.
VASP calculation (PBE-GGA) on a relaxed CoIrCl6 crystal.

abc: 5.9872 6.7779 6.7779
angles: 127.68 97.72 97.72
Last column: nearest neighbours and their distance in Å.
Positions (direct):
Co 0.0000 0.0000 0.0000  6 Cl 2.38-2.50
Ir 0.5000 0.5000 0.5000  6 Cl 2.33-2.35
Cl 0.7486 0.6152 0.8748  1 Ir 2.35, 1 Co 2.38
Cl 0.7486 0.8748 0.6152  1 Ir 2.35, 1 Co 2.38
Cl 0.2514 0.1252 0.3848  1 Ir 2.35, 1 Co 2.38
Cl 0.2514 0.3848 0.1252  1 Ir 2.35, 1 Co 2.38
Cl 0.7366 0.2534 0.2534  1 Ir 2.33, 1 Co 2.50
Cl 0.2634 0.7466 0.7466  1 Ir 2.33, 1 Co 2.50

## Properties
Electronic total energy (eV per atom): -3.790
SG: C2/m



10.
VASP calculation (PBE-GGA) on a relaxed TiGaCo2 crystal.

abc: 3.1851 3.9501 3.9501
angles: 90.00 90.00 90.00
Last column: nearest neighbours and their distance in Å.
Positions (direct):
Co 0.0000 0.0000 0.5000  4 Ti 2.54, 4 Ga 2.54, 4 Co 2.79
Co 0.0000 0.5000 0.0000  4 Ti 2.54, 4 Ga 2.54, 4 Co 2.79
Ga 0.5000 0.5000 0.5000  8 Co 2.54, 4 Ti 2.79
Ti 0.5000 0.0000 0.0000  8 Co 2.54, 4 Ga 2.79

## Properties
DFT formation energy (eV per atom): -0.4291
Electronic total energy (eV per atom): -6.713
SG: P4/mmm



11.
VASP calculation (PBE-GGA) on a relaxed CoRePb4 crystal.

abc: 6.2094 6.2094 6.2094
angles: 60.00 60.00 60.00
Last column: nearest neighbours and their distance in Å.
Positions (direct):
Co 0.0000 0.0000 0.0000  12 Pb 3.64, 4 Re 3.80
Re 0.7500 0.7500 0.7500  12 Pb 3.64, 4 Co 3.80
Pb 0.8737 0.3754 0.3754  6 Pb 3.09-3.12
Pb 0.3754 0.3754 0.8737  6 Pb 3.09-3.12
Pb 0.3754 0.8737 0.3754  6 Pb 3.09-3.12
Pb 0.3754 0.3754 0.3754  6 Pb 3.09-3.12

## Properties
DFT formation energy (eV per atom): 1.5386
Electronic total energy (eV per atom): -4.193
SG: F-43m



12.
VASP calculation (PBE-GGA) on a relaxed TaAsSCl2 crystal.

abc: 4.8061 4.8061 5.1440
angles: 90.00 90.00 90.00
Last column: nearest neighbours and their distance in Å.
Positions (direct):
As 0.0000 0.0000 0.0000  4 Cl 2.40, 2 S 2.57
Cl 0.0000 0.5000 0.0000  2 As 2.40
Cl 0.5000 0.0000 0.0000  2 As 2.40
S 0.0000 0.0000 0.5000  2 As 2.57
Ta 0.5000 0.5000 0.5000  4 S 3.40, 8 Cl 3.52

## Properties
Electronic total energy (eV per atom): -3.949
SG: P4/mmm
Relative energy among the computed polymorphs (eV per atom): 0.949



| no. | total moment (μB/f.u.) |
| --- | --- |
| 1 | 4.2 |
| 2 | 1.8 |
| 3 | 6.0 |
| 4 | 0.0 |
| 5 | 0.0 |
| 6 | 0.0 |
| 7 | 1.4 |
| 8 | 0.0 |
| 9 | 4.0 |
| 10 | 0.0 |
| 11 | 5.2 |
| 12 | 3.5 |